The following is a DFT calculation (GGA+U) of a relaxed structure of Li7Mn2Co3O12.

Cell lengths 2.9816, 7.7456, 10.1575 Å; angles 111.02, 91.85, 96.84 degrees
Closest atoms and distances in Å follow each position.
Space group P1 (No. 1)
Symmetry-distinct sites (fractional):
Li 0.0000 0.0000 0.0000 (multiplicity 1)  5 O 2.00-2.20
Li 0.0050 0.0048 0.5073 (multiplicity 1)  4 O 1.99-2.16
Li 0.1165 0.3115 0.9254 (multiplicity 1)  5 O 2.01-2.11
Li 0.3120 0.6554 0.3309 (multiplicity 1)  6 O 1.98-2.20
Li 0.3211 0.6709 0.8490 (multiplicity 1)  6 O 2.03-2.21
Li 0.6147 0.3160 0.6973 (multiplicity 1)  4 O 2.02-2.21
Li 0.6471 0.3159 0.1509 (multiplicity 1)  5 O 2.00-2.23
Mn 0.1639 0.3203 0.4178 (multiplicity 1)  4 O 1.94-2.03
Mn 0.8304 0.6634 0.5926 (multiplicity 1)  6 O 1.89-2.02
Co 0.4811 0.9859 0.2503 (multiplicity 1)  4 O 1.88-1.95
Co 0.4992 0.0058 0.7604 (multiplicity 1)  3 O 1.81-1.99
Co 0.8004 0.6433 0.0809 (multiplicity 1)  2 O 1.74-1.86
O 0.0697 0.1467 0.7156 (multiplicity 1)  2 Co 1.92-2.06, 4 Li 1.99-2.04
O 0.0957 0.1541 0.2198 (multiplicity 1)  1 Co 1.93, 1 Mn 1.95, 1 Li 2.11
O 0.2023 0.5027 0.1265 (multiplicity 1)  1 Co 1.86, 2 Li 1.98-2.03
O 0.2807 0.5050 0.6203 (multiplicity 1)  3 Mn 2.00-2.03, 2 Li 2.21
O 0.3803 0.8138 0.5607 (multiplicity 1)  2 Mn 1.97-2.00, 1 Co 2.03, 2 Li 2.16-2.20
O 0.4164 0.8199 0.0606 (multiplicity 1)  2 Co 1.88-1.95, 1 Li 2.03
O 0.5449 0.1502 0.4489 (multiplicity 1)  1 Mn 1.94, 1 Co 1.95, 2 Li 2.07-2.08
O 0.5483 0.1414 0.9486 (multiplicity 1)  1 Co 1.81, 3 Li 2.00-2.01
O 0.7466 0.5152 0.9001 (multiplicity 1)  1 Co 1.74
O 0.7819 0.4974 0.3948 (multiplicity 1)  2 Mn 1.95, 1 Li 2.14
O 0.8645 0.8191 0.2783 (multiplicity 1)  2 Co 1.91-1.97, 1 Li 2.13
O 0.8826 0.8236 0.7842 (multiplicity 1)  1 Mn 1.89, 1 Co 1.99, 1 Li 2.10

E_tot   -5.8174 eV/atom
Energy above the most stable polymorph in this dataset   79 meV per atom
Fermi-level density of states   0.127 states/eV per atom